Entry 1:
Here is Np2SnTe after structural relaxation from the Alexandria database. Energies are from PBE.

Cell: 7.4058 7.4058 7.4058 Å, 35.20 35.20 35.20°
Fractional coordinates of all 4 atoms:
Np  0.2488  0.2488  0.2488
Np  0.7512  0.7512  0.7512
Sn  0.5000  0.5000  0.5000
Te  0.0000  0.0000  0.0000

## Properties
Symmetry: No. 166
Energy above the lowest structure with this stoichiometry in kJ per mole of atoms: 11.0
ΔE_f (raw) in eV per atom: -0.0924

=====

Entry 2:
Here is Np3Sn5Te12 after structural relaxation from the Alexandria database. Energies are from PBE.

Cell: 15.5970 15.5970 15.5970 Å, 109.47 109.47 109.47°
Fractional coordinates of all 80 atoms:
Np  0.1250  0.2500  0.3750
Np  0.1250  0.3750  0.7500
Np  0.2500  0.3750  0.1250
Np  0.2500  0.8750  0.6250
Np  0.3750  0.1250  0.2500
Np  0.3750  0.7500  0.1250
Np  0.6250  0.2500  0.8750
Np  0.6250  0.8750  0.7500
Np  0.7500  0.1250  0.3750
Np  0.7500  0.6250  0.8750
Np  0.8750  0.6250  0.2500
Np  0.8750  0.7500  0.6250
Sn  0.0000  0.0000  0.0000
Sn  0.0000  0.0000  0.5000
Sn  0.0000  0.5000  0.0000
Sn  0.0000  0.5000  0.5000
Sn  0.1250  0.7500  0.8750
Sn  0.1250  0.8750  0.2500
Sn  0.2500  0.1250  0.8750
Sn  0.2500  0.6250  0.3750
Sn  0.3750  0.2500  0.6250
Sn  0.3750  0.6250  0.7500
Sn  0.5000  0.0000  0.0000
Sn  0.5000  0.0000  0.5000
Sn  0.5000  0.5000  0.0000
Sn  0.5000  0.5000  0.5000
Sn  0.6250  0.3750  0.2500
Sn  0.6250  0.7500  0.3750
Sn  0.7500  0.3750  0.6250
Sn  0.7500  0.8750  0.1250
Sn  0.8750  0.1250  0.7500
Sn  0.8750  0.2500  0.1250
Te  0.0538  0.2240  0.1394
Te  0.0538  0.3297  0.9144
Te  0.0847  0.7240  0.6703
Te  0.0847  0.8606  0.4144
Te  0.0856  0.6394  0.4153
Te  0.0856  0.9462  0.6703
Te  0.1394  0.0538  0.2240
Te  0.1394  0.5856  0.9153
Te  0.1703  0.2240  0.5847
Te  0.1703  0.4462  0.5856
Te  0.2240  0.1394  0.0538
Te  0.2240  0.5847  0.1703
Te  0.2760  0.3297  0.9153
Te  0.2760  0.4462  0.3606
Te  0.3297  0.9144  0.0538
Te  0.3297  0.9153  0.2760
Te  0.3606  0.2760  0.4462
Te  0.3606  0.5847  0.9144
Te  0.4144  0.0847  0.8606
Te  0.4144  0.8297  0.5538
Te  0.4153  0.0856  0.6394
Te  0.4153  0.8297  0.7760
Te  0.4462  0.3606  0.2760
Te  0.4462  0.5856  0.1703
Te  0.5538  0.4144  0.8297
Te  0.5538  0.6394  0.7240
Te  0.5847  0.1703  0.2240
Te  0.5847  0.9144  0.3606
Te  0.5856  0.1703  0.4462
Te  0.5856  0.9153  0.1394
Te  0.6394  0.4153  0.0856
Te  0.6394  0.7240  0.5538
Te  0.6703  0.0847  0.7240
Te  0.6703  0.0856  0.9462
Te  0.7240  0.5538  0.6394
Te  0.7240  0.6703  0.0847
Te  0.7760  0.4153  0.8297
Te  0.7760  0.8606  0.9462
Te  0.8297  0.5538  0.4144
Te  0.8297  0.7760  0.4153
Te  0.8606  0.4144  0.0847
Te  0.8606  0.9462  0.7760
Te  0.9144  0.0538  0.3297
Te  0.9144  0.3606  0.5847
Te  0.9153  0.1394  0.5856
Te  0.9153  0.2760  0.3297
Te  0.9462  0.6703  0.0856
Te  0.9462  0.7760  0.8606

## Properties
Symmetry: No. 230
ΔE_f (raw) in eV per atom: -0.2917

=====

Entry 3:
Here is Np2SnTe5 after structural relaxation from the Alexandria database. Energies are from PBE.

Cell: 8.6212 13.2778 4.2459 Å, 90.00 90.00 90.00°
Fractional coordinates of all 16 atoms:
Np  0.0270  0.1743  0.0000
Np  0.4730  0.6743  0.0000
Np  0.5270  0.3257  0.0000
Np  0.9730  0.8257  0.0000
Sn  0.0000  0.5000  0.5000
Sn  0.5000  0.0000  0.5000
Te  0.0000  0.0000  0.5000
Te  0.1746  0.3906  0.0000
Te  0.1828  0.6956  0.5000
Te  0.3172  0.1956  0.5000
Te  0.3254  0.8906  0.0000
Te  0.5000  0.5000  0.5000
Te  0.6746  0.1094  0.0000
Te  0.6828  0.8044  0.5000
Te  0.8172  0.3044  0.5000
Te  0.8254  0.6094  0.0000

## Properties
Symmetry: No. 55
ΔE_f (raw) in eV per atom: -0.4943

=====

Entry 4:
Here is Np2SnTe after structural relaxation from the Alexandria database. Energies are from PBE.

Cell: 3.5696 3.5696 8.2261 Å, 90.00 90.00 90.00°
Fractional coordinates of all 4 atoms:
Np  0.0000  0.0000  0.2410
Np  0.0000  0.0000  0.7590
Sn  0.5000  0.5000  0.5000
Te  0.5000  0.5000  0.0000

## Properties
Symmetry: No. 123
Energy above the lowest structure with this stoichiometry in kJ per mole of atoms: 0.0
ΔE_f (raw) in eV per atom: -0.2066

=====

Entry 5:
Here is Np3SnTe6 after structural relaxation from the Alexandria database. Energies are from PBE.

Cell: 9.4719 9.4719 7.6666 Å, 90.00 90.00 102.49°
Fractional coordinates of all 20 atoms:
Np  0.0949  0.9051  0.5000
Np  0.2206  0.4195  0.6087
Np  0.4195  0.2206  0.1087
Np  0.5805  0.7794  0.6087
Np  0.7794  0.5805  0.1087
Np  0.9051  0.0949  0.0000
Sn  0.3208  0.6792  0.1358
Sn  0.6792  0.3208  0.6358
Te  0.0498  0.5903  0.3450
Te  0.1264  0.2032  0.3005
Te  0.2032  0.1264  0.8005
Te  0.2645  0.7355  0.7429
Te  0.4097  0.9502  0.3450
Te  0.4966  0.5034  0.3708
Te  0.5034  0.4966  0.8708
Te  0.5903  0.0498  0.8450
Te  0.7355  0.2645  0.2429
Te  0.7968  0.8736  0.3005
Te  0.8736  0.7968  0.8005
Te  0.9502  0.4097  0.8450

## Properties
Symmetry: No. 36
ΔE_f (raw) in eV per atom: -0.5181

=====

Entry 6:
Here is NpSnTe2 after structural relaxation from the Alexandria database. Energies are from PBE.

Cell: 3.8242 3.8242 7.7009 Å, 90.00 90.00 90.00°
Fractional coordinates of all 4 atoms:
Np  0.0000  0.0000  0.0000
Sn  0.0000  0.0000  0.5000
Te  0.5000  0.5000  0.2308
Te  0.5000  0.5000  0.7692

## Properties
Symmetry: No. 123
ΔE_f (raw) in eV per atom: -0.3425

=====

Entry 7:
Here is NpSnTe2 after structural relaxation from the Alexandria database. Energies are from PBE.

Cell: 8.5110 8.5110 8.5110 Å, 28.93 28.93 28.93°
Fractional coordinates of all 4 atoms:
Np  0.0000  0.0000  0.0000
Sn  0.1645  0.1645  0.1645
Te  0.5852  0.5852  0.5852
Te  0.7492  0.7492  0.7492

## Properties
Symmetry: No. 160
ΔE_f (raw) in eV per atom: -0.3065

=====

Entry 8:
Here is Np2Tl3SnTe6 after structural relaxation from the Alexandria database. Energies are from PBE.

Cell: 7.8620 7.8620 8.4555 Å, 98.88 98.88 119.92°
Fractional coordinates of all 12 atoms:
Np  0.1673  0.8327  0.0000
Np  0.8327  0.1673  0.0000
Tl  0.0000  0.0000  0.5000
Tl  0.3362  0.6638  0.5000
Tl  0.6638  0.3362  0.5000
Sn  0.5000  0.5000  0.0000
Te  0.0837  0.4281  0.7846
Te  0.2256  0.2256  0.2112
Te  0.4281  0.0837  0.7846
Te  0.5719  0.9163  0.2154
Te  0.7744  0.7744  0.7888
Te  0.9163  0.5719  0.2154

## Properties
Symmetry: No. 12
ΔE_f (raw) in eV per atom: -0.4943

=====

Entry 9:
Here is NpTl2SnTe4 after structural relaxation from the Alexandria database. Energies are from PBE.

Cell: 7.9557 4.5148 8.3503 Å, 90.00 107.76 90.00°
Fractional coordinates of all 8 atoms:
Np  0.0000  0.0000  0.0000
Tl  0.0000  0.5000  0.5000
Tl  0.5000  0.0000  0.5000
Sn  0.5000  0.5000  0.0000
Te  0.2291  0.5000  0.2122
Te  0.2487  0.0000  0.7847
Te  0.7513  0.0000  0.2153
Te  0.7709  0.5000  0.7877

## Properties
Symmetry: No. 10
ΔE_f (raw) in eV per atom: -0.4365

=====

Entry 10:
Here is ThNpSn after structural relaxation from the Alexandria database. Energies are from PBE.

Cell: 6.1561 6.1561 6.1561 Å, 128.17 117.16 85.73°
Fractional coordinates of all 6 atoms:
Th  0.1782  0.1782  0.0000
Th  0.8218  0.8218  0.0000
Np  0.3654  0.8654  0.5000
Np  0.6346  0.1346  0.5000
Sn  0.2423  0.5000  0.7423
Sn  0.7577  0.5000  0.2577

## Properties
Symmetry: No. 71
ΔE_f in eV per atom: 0.110

=====

Entry 11:
Here is ThNpSn2 after structural relaxation from the Alexandria database. Energies are from PBE.

Cell: 4.9155 4.9155 4.4971 Å, 90.00 90.00 90.00°
Fractional coordinates of all 4 atoms:
Th  0.0000  0.0000  0.0000
Np  0.5000  0.5000  0.0000
Sn  0.0000  0.5000  0.5000
Sn  0.5000  0.0000  0.5000

## Properties
Symmetry: No. 123
ΔE_f in eV per atom: -0.186
Energy above the lowest structure with this stoichiometry in kJ per mole of atoms: 5.8

=====

Entry 12:
Here is ThNpSn2 after structural relaxation from the Alexandria database. Energies are from PBE.

Cell: 3.4566 3.4566 9.0739 Å, 90.00 90.00 90.00°
Fractional coordinates of all 4 atoms:
Th  0.0000  0.0000  0.0000
Np  0.0000  0.0000  0.5000
Sn  0.5000  0.5000  0.2570
Sn  0.5000  0.5000  0.7430

## Properties
Symmetry: No. 123
ΔE_f in eV per atom: -0.246
Energy above the lowest structure with this stoichiometry in kJ per mole of atoms: 0.0

=====

Entry 13:
Here is Th3NpSn12 after structural relaxation from the Alexandria database. Energies are from PBE.

Cell: 4.7564 4.7564 18.6530 Å, 90.00 90.00 90.00°
Fractional coordinates of all 16 atoms:
Th  0.0000  0.0000  0.0000
Th  0.0000  0.0000  0.2529
Th  0.0000  0.0000  0.7471
Np  0.0000  0.0000  0.5000
Sn  0.0000  0.5000  0.1265
Sn  0.0000  0.5000  0.3794
Sn  0.0000  0.5000  0.6206
Sn  0.0000  0.5000  0.8735
Sn  0.5000  0.0000  0.1265
Sn  0.5000  0.0000  0.3794
Sn  0.5000  0.0000  0.6206
Sn  0.5000  0.0000  0.8735
Sn  0.5000  0.5000  0.0000
Sn  0.5000  0.5000  0.2533
Sn  0.5000  0.5000  0.5000
Sn  0.5000  0.5000  0.7467

## Properties
Symmetry: No. 123
ΔE_f in eV per atom: -0.379

=====

Entry 14:
Here is ThNp2Sn9 after structural relaxation from the Alexandria database. Energies are from PBE.

Cell: 4.6979 4.6979 13.9640 Å, 90.00 90.00 90.00°
Fractional coordinates of all 12 atoms:
Th  0.0000  0.0000  0.0000
Np  0.0000  0.0000  0.3354
Np  0.0000  0.0000  0.6646
Sn  0.0000  0.5000  0.1716
Sn  0.0000  0.5000  0.5000
Sn  0.0000  0.5000  0.8284
Sn  0.5000  0.0000  0.1716
Sn  0.5000  0.0000  0.5000
Sn  0.5000  0.0000  0.8284
Sn  0.5000  0.5000  0.0000
Sn  0.5000  0.5000  0.3353
Sn  0.5000  0.5000  0.6647

## Properties
Symmetry: No. 123
ΔE_f in eV per atom: -0.248

=====

Entry 15:
Here is ThNpSn2 after structural relaxation from the Alexandria database. Energies are from PBE.

Cell: 5.4054 5.4054 5.4054 Å, 60.00 60.00 60.00°
Fractional coordinates of all 4 atoms:
Th  0.0000  0.0000  0.0000
Np  0.5000  0.5000  0.5000
Sn  0.2500  0.2500  0.2500
Sn  0.7500  0.7500  0.7500

## Properties
Symmetry: No. 225
ΔE_f in eV per atom: -0.100
Energy above the lowest structure with this stoichiometry in kJ per mole of atoms: 14.2

=====

Entry 16:
Here is NpTiSn2 after structural relaxation from the Alexandria database. Energies are from PBE.

Cell: 3.6605 3.6605 6.7907 Å, 90.00 90.00 90.00°
Fractional coordinates of all 4 atoms:
Np  0.0000  0.0000  0.0000
Ti  0.0000  0.0000  0.5000
Sn  0.5000  0.5000  0.2841
Sn  0.5000  0.5000  0.7159

## Properties
Symmetry: No. 123
ΔE_f in eV per atom: -0.040
Energy above the lowest structure with this stoichiometry in kJ per mole of atoms: 0.0

=====

Entry 17:
Here is NpTiSn2 after structural relaxation from the Alexandria database. Energies are from PBE.

Cell: 4.5390 4.5390 4.4755 Å, 90.00 90.00 90.00°
Fractional coordinates of all 4 atoms:
Np  0.0000  0.0000  0.0000
Ti  0.5000  0.5000  0.0000
Sn  0.0000  0.5000  0.5000
Sn  0.5000  0.0000  0.5000

## Properties
Symmetry: No. 123
ΔE_f in eV per atom: -0.029
Energy above the lowest structure with this stoichiometry in kJ per mole of atoms: 1.0

=====

Entry 18:
Here is NpTlSn2 after structural relaxation from the Alexandria database. Energies are from PBE.

Cell: 5.6465 5.6465 3.3919 Å, 90.00 90.00 90.00°
Fractional coordinates of all 4 atoms:
Np  0.0000  0.0000  0.0000
Tl  0.5000  0.5000  0.0000
Sn  0.0000  0.5000  0.5000
Sn  0.5000  0.0000  0.5000

## Properties
Symmetry: No. 123
ΔE_f in eV per atom: 0.083
Energy above the lowest structure with this stoichiometry in kJ per mole of atoms: 0.0

=====

Entry 19:
Here is NpTlSn2 after structural relaxation from the Alexandria database. Energies are from PBE.

Cell: 4.0269 4.0269 6.6468 Å, 90.00 90.00 90.00°
Fractional coordinates of all 4 atoms:
Np  0.0000  0.0000  0.0000
Tl  0.0000  0.0000  0.5000
Sn  0.5000  0.5000  0.2520
Sn  0.5000  0.5000  0.7480

## Properties
Symmetry: No. 123
ΔE_f in eV per atom: 0.125
Energy above the lowest structure with this stoichiometry in kJ per mole of atoms: 4.0

=====

Entry 20:
Here is NpTlSn after structural relaxation from the Alexandria database. Energies are from PBE.

Cell: 7.0302 7.0302 7.0302 Å, 151.17 151.17 41.23°
Fractional coordinates of all 3 atoms:
Np  0.0000  0.0000  0.0000
Tl  0.3240  0.3240  0.0000
Sn  0.6612  0.6612  0.0000

## Properties
Symmetry: No. 107
ΔE_f in eV per atom: 0.231
Energy above the lowest structure with this stoichiometry in kJ per mole of atoms: 7.1

=====

Entry 21:
Here is NpTlSn after structural relaxation from the Alexandria database. Energies are from PBE.

Cell: 8.7734 8.7734 5.3649 Å, 98.65 98.65 22.86°
Fractional coordinates of all 6 atoms:
Np  0.2329  0.2329  0.3501
Np  0.7671  0.7671  0.6499
Tl  0.4416  0.4416  0.7184
Tl  0.5584  0.5584  0.2816
Sn  0.1259  0.1259  0.8050
Sn  0.8741  0.8741  0.1950

## Properties
Symmetry: No. 12
ΔE_f in eV per atom: 0.158
Energy above the lowest structure with this stoichiometry in kJ per mole of atoms: 0.0

=====

Entry 22:
Here is NpTlSn2 after structural relaxation from the Alexandria database. Energies are from PBE.

Cell: 12.1353 12.1353 12.1353 Å, 15.22 15.22 15.22°
Fractional coordinates of all 4 atoms:
Np  0.0000  0.0000  0.0000
Tl  0.5000  0.5000  0.5000
Sn  0.4105  0.4105  0.4105
Sn  0.5895  0.5895  0.5895

## Properties
Symmetry: No. 166
ΔE_f in eV per atom: 0.164
Energy above the lowest structure with this stoichiometry in kJ per mole of atoms: 7.8